one:
Computed, not measured: a relaxed structure of K2AlAu at the PBE-GGA level of DFT.

## Properties
For the magnetization, the calculation gives 0.76 Bohr magnetons per cell. Its symmetry is Fm-3m (225).

a b c (Å): 5.726 5.726 5.726
angles (deg): 60.00 60.00 60.00
Sites, in units of the cell vectors:
K (0.250, 0.250, 0.250)
K (0.750, 0.750, 0.750)
Al (0.000, 0.000, 0.000)
Au (0.500, 0.500, 0.500)



two:
Computed, not measured: a relaxed structure of K2AlAu at the PBE-GGA level of DFT.

## Properties
For the magnetization, the calculation gives 0.00 Bohr magnetons per cell. Its symmetry is I-4m2 (119).

a b c (Å): 5.432 5.432 5.432
angles (deg): 119.22 119.22 91.35
Sites, in units of the cell vectors:
K (0.000, 0.000, 0.000)
K (0.750, 0.250, 0.500)
Al (0.500, 0.500, 0.000)
Au (0.250, 0.750, 0.500)



three:
Computed, not measured: a relaxed structure of K2AlAu at the PBE-GGA level of DFT.

## Properties
For the magnetization, the calculation gives 0.00 Bohr magnetons per cell. Its symmetry is Pmmm (47).

a b c (Å): 4.426 4.477 6.308
angles (deg): 90.00 90.00 90.00
Sites, in units of the cell vectors:
K (0.000, 0.000, 0.240)
K (0.000, 0.000, 0.760)
Al (0.500, 0.500, 0.500)
Au (0.500, 0.500, 0.000)



Which structure is most stable? three, by 3.0 kJ/mol of atoms over the runner-up.



one:
Computed, not measured: a relaxed structure of KAlAu3 at the PBE-GGA level of DFT.

## Properties
For the magnetization, the calculation gives 0.00 Bohr magnetons per cell. Its symmetry is Pm-3m (221).

a b c (Å): 5.037 5.037 5.037
angles (deg): 90.00 90.00 90.00
Sites, in units of the cell vectors:
K (0.000, 0.000, 0.000)
Al (0.500, 0.500, 0.500)
Au (0.000, 0.500, 0.500)
Au (0.500, 0.000, 0.500)
Au (0.500, 0.500, 0.000)



two:
Computed, not measured: a relaxed structure of KAlAu3 at the PBE-GGA level of DFT.

## Properties
For the magnetization, the calculation gives 0.00 Bohr magnetons per cell. Its symmetry is Pm-3m (221).

a b c (Å): 5.733 5.733 5.733
angles (deg): 90.00 90.00 90.00
Sites, in units of the cell vectors:
K (0.000, 0.000, 0.000)
Al (0.500, 0.500, 0.500)
Au (0.000, 0.000, 0.500)
Au (0.000, 0.500, 0.000)
Au (0.500, 0.000, 0.000)



three:
Computed, not measured: a relaxed structure of KAlAu3 at the PBE-GGA level of DFT.

## Properties
For the magnetization, the calculation gives 0.00 Bohr magnetons per cell. Its symmetry is P-1 (2).

a b c (Å): 5.363 6.838 7.026
angles (deg): 61.16 88.03 89.83
Sites, in units of the cell vectors:
K (0.001, 0.139, 0.222)
K (0.999, 0.861, 0.778)
Al (0.322, 0.392, 0.717)
Al (0.678, 0.608, 0.283)
Au (0.155, 0.600, 0.296)
Au (0.499, 0.801, 0.499)
Au (0.500, 0.000, 0.000)
Au (0.500, 0.500, 0.000)
Au (0.501, 0.199, 0.501)
Au (0.845, 0.400, 0.704)



four:
Computed, not measured: a relaxed structure of KAlAu3 at the PBE-GGA level of DFT.

## Properties
For the magnetization, the calculation gives 0.00 Bohr magnetons per cell. Its symmetry is P2_1/c (14).

a b c (Å): 8.797 6.664 8.632
angles (deg): 90.00 105.07 90.00
Sites, in units of the cell vectors:
K (0.130, 0.087, 0.202)
K (0.130, 0.413, 0.702)
K (0.870, 0.587, 0.298)
K (0.870, 0.913, 0.798)
Al (0.416, 0.742, 0.119)
Al (0.416, 0.758, 0.619)
Al (0.584, 0.242, 0.381)
Al (0.584, 0.258, 0.881)
Au (0.140, 0.586, 0.072)
Au (0.140, 0.914, 0.572)
Au (0.345, 0.510, 0.380)
Au (0.345, 0.990, 0.880)
Au (0.434, 0.147, 0.596)
Au (0.434, 0.353, 0.096)
Au (0.566, 0.647, 0.904)
Au (0.566, 0.853, 0.404)
Au (0.655, 0.010, 0.120)
Au (0.655, 0.490, 0.620)
Au (0.860, 0.086, 0.428)
Au (0.860, 0.414, 0.928)



Which structure is most stable? three, by 0.7 kJ/mol of atoms over the runner-up.



one:
Computed, not measured: a relaxed structure of KAl2Au2 at the PBE-GGA level of DFT.

## Properties
For the magnetization, the calculation gives 0.00 Bohr magnetons per cell. Its symmetry is P4/mbm (127).

a b c (Å): 8.387 8.387 2.813
angles (deg): 90.00 90.00 90.00
Sites, in units of the cell vectors:
K (0.000, 0.000, 0.000)
K (0.500, 0.500, 0.000)
Al (0.127, 0.373, 0.000)
Al (0.373, 0.873, 0.000)
Al (0.627, 0.127, 0.000)
Al (0.873, 0.627, 0.000)
Au (0.165, 0.665, 0.500)
Au (0.335, 0.165, 0.500)
Au (0.665, 0.835, 0.500)
Au (0.835, 0.335, 0.500)



two:
Computed, not measured: a relaxed structure of KAl2Au2 at the PBE-GGA level of DFT.

## Properties
For the magnetization, the calculation gives 0.00 Bohr magnetons per cell. Its symmetry is I4/mmm (139).

a b c (Å): 6.068 6.068 6.068
angles (deg): 133.38 133.38 68.06
Sites, in units of the cell vectors:
K (0.000, 0.000, 0.000)
Al (0.357, 0.357, 0.000)
Al (0.643, 0.643, 0.000)
Au (0.250, 0.750, 0.500)
Au (0.750, 0.250, 0.500)



three:
Computed, not measured: a relaxed structure of KAl2Au2 at the PBE-GGA level of DFT.

## Properties
For the magnetization, the calculation gives 0.00 Bohr magnetons per cell. Its symmetry is C2/c (15).

a b c (Å): 8.034 8.034 5.549
angles (deg): 99.07 99.07 132.29
Sites, in units of the cell vectors:
K (0.094, 0.906, 0.750)
K (0.906, 0.094, 0.250)
Al (0.244, 0.536, 0.935)
Al (0.464, 0.756, 0.565)
Al (0.536, 0.244, 0.435)
Al (0.756, 0.464, 0.065)
Au (0.215, 0.785, 0.250)
Au (0.496, 0.504, 0.250)
Au (0.504, 0.496, 0.750)
Au (0.785, 0.215, 0.750)



four:
Computed, not measured: a relaxed structure of KAl2Au2 at the PBE-GGA level of DFT.

## Properties
For the magnetization, the calculation gives 0.00 Bohr magnetons per cell. Its symmetry is I4/mmm (139).

a b c (Å): 6.515 6.515 6.515
angles (deg): 139.96 139.96 57.92
Sites, in units of the cell vectors:
K (0.000, 0.000, 0.000)
Al (0.250, 0.750, 0.500)
Al (0.750, 0.250, 0.500)
Au (0.369, 0.369, 0.000)
Au (0.631, 0.631, 0.000)



Which structure is most stable? four, by 2.4 kJ/mol of atoms over the runner-up.



one:
Computed, not measured: a relaxed structure of K2Al2Au at the PBE-GGA level of DFT.

## Properties
For the magnetization, the calculation gives 0.00 Bohr magnetons per cell. Its symmetry is P4/mbm (127).

a b c (Å): 6.826 6.826 5.950
angles (deg): 90.00 90.00 90.00
Sites, in units of the cell vectors:
K (0.186, 0.314, 0.000)
K (0.314, 0.814, 0.000)
K (0.686, 0.186, 0.000)
K (0.814, 0.686, 0.000)
Al (0.138, 0.638, 0.500)
Al (0.362, 0.138, 0.500)
Al (0.638, 0.862, 0.500)
Al (0.862, 0.362, 0.500)
Au (0.000, 0.000, 0.500)
Au (0.500, 0.500, 0.500)



two:
Computed, not measured: a relaxed structure of K2Al2Au at the PBE-GGA level of DFT.

## Properties
For the magnetization, the calculation gives 0.00 Bohr magnetons per cell. Its symmetry is I4/mmm (139).

a b c (Å): 10.785 10.785 10.785
angles (deg): 159.33 159.33 29.40
Sites, in units of the cell vectors:
K (0.098, 0.098, 0.000)
K (0.902, 0.902, 0.000)
Al (0.250, 0.750, 0.500)
Al (0.750, 0.250, 0.500)
Au (0.500, 0.500, 0.000)



Which structure is most stable? one, by 6.2 kJ/mol of atoms over the runner-up.



one:
Computed, not measured: a relaxed structure of K3AlAu4 at the PBE-GGA level of DFT.

## Properties
For the magnetization, the calculation gives 0.00 Bohr magnetons per cell. Its symmetry is Imm2 (44).

a b c (Å): 6.871 6.871 6.871
angles (deg): 123.30 102.40 103.67
Sites, in units of the cell vectors:
K (0.000, 0.000, 0.000)
K (0.404, 0.672, 0.732)
K (0.940, 0.672, 0.268)
Al (0.620, 0.120, 0.500)
Au (0.024, 0.284, 0.741)
Au (0.420, 0.205, 0.785)
Au (0.420, 0.635, 0.215)
Au (0.543, 0.284, 0.259)



two:
Computed, not measured: a relaxed structure of K3AlAu4 at the PBE-GGA level of DFT.

## Properties
For the magnetization, the calculation gives 0.00 Bohr magnetons per cell. Its symmetry is Pnma (62).

a b c (Å): 11.248 12.797 6.601
angles (deg): 90.00 90.00 90.00
Sites, in units of the cell vectors:
K (0.112, 0.250, 0.178)
K (0.156, 0.000, 0.596)
K (0.156, 0.500, 0.596)
K (0.344, 0.000, 0.096)
K (0.344, 0.500, 0.096)
K (0.388, 0.750, 0.678)
K (0.612, 0.250, 0.322)
K (0.656, 0.000, 0.904)
K (0.656, 0.500, 0.904)
K (0.844, 0.000, 0.404)
K (0.844, 0.500, 0.404)
K (0.888, 0.750, 0.822)
Al (0.174, 0.750, 0.171)
Al (0.326, 0.250, 0.671)
Al (0.674, 0.750, 0.329)
Al (0.826, 0.250, 0.829)
Au (0.061, 0.584, 0.080)
Au (0.061, 0.916, 0.080)
Au (0.100, 0.250, 0.688)
Au (0.116, 0.750, 0.542)
Au (0.384, 0.250, 0.042)
Au (0.400, 0.750, 0.188)
Au (0.439, 0.084, 0.580)
Au (0.439, 0.416, 0.580)
Au (0.561, 0.584, 0.420)
Au (0.561, 0.916, 0.420)
Au (0.600, 0.250, 0.812)
Au (0.616, 0.750, 0.958)
Au (0.884, 0.250, 0.458)
Au (0.900, 0.750, 0.312)
Au (0.939, 0.084, 0.920)
Au (0.939, 0.416, 0.920)



Which structure is most stable? one, by 5.0 kJ/mol of atoms over the runner-up.



one:
Computed, not measured: a relaxed structure of K2RbAlAu at the PBE-GGA level of DFT.

## Properties
For the magnetization, the calculation gives 0.00 Bohr magnetons per cell. Its symmetry is P4/mmm (123).

a b c (Å): 6.632 6.632 4.966
angles (deg): 90.00 90.00 90.00
Sites, in units of the cell vectors:
K (0.000, 0.500, 0.000)
K (0.500, 0.000, 0.000)
Rb (0.000, 0.000, 0.500)
Al (0.500, 0.500, 0.500)
Au (0.500, 0.500, 0.000)



two:
Computed, not measured: a relaxed structure of K2RbAlAu at the PBE-GGA level of DFT.

## Properties
For the magnetization, the calculation gives 1.82 Bohr magnetons per cell. Its symmetry is P4/mmm (123).

a b c (Å): 7.349 7.349 6.140
angles (deg): 90.00 90.00 90.00
Sites, in units of the cell vectors:
K (0.000, 0.500, 0.000)
K (0.500, 0.000, 0.000)
Rb (0.000, 0.000, 0.000)
Al (0.000, 0.000, 0.500)
Au (0.500, 0.500, 0.500)



Which structure is most stable? one, by 85.4 kJ/mol of atoms over the runner-up.



one:
Computed, not measured: a relaxed structure of LaAl3Au at the PBE-GGA level of DFT.

## Properties
For the magnetization, the calculation gives 0.00 Bohr magnetons per cell. Its symmetry is P6_3/mmc (194).

a b c (Å): 6.424 6.424 5.981
angles (deg): 90.00 90.00 120.00
Sites, in units of the cell vectors:
La (0.333, 0.667, 0.250)
La (0.667, 0.333, 0.750)
Al (0.195, 0.391, 0.750)
Al (0.195, 0.805, 0.750)
Al (0.391, 0.195, 0.250)
Al (0.609, 0.805, 0.750)
Al (0.805, 0.195, 0.250)
Al (0.805, 0.609, 0.250)
Au (0.000, 0.000, 0.000)
Au (0.000, 0.000, 0.500)



two:
Computed, not measured: a relaxed structure of LaAl3Au at the PBE-GGA level of DFT.

## Properties
For the magnetization, the calculation gives 0.00 Bohr magnetons per cell. Its symmetry is Pm-3m (221).

a b c (Å): 5.668 5.668 5.668
angles (deg): 90.00 90.00 90.00
Sites, in units of the cell vectors:
La (0.000, 0.000, 0.000)
Al (0.000, 0.000, 0.500)
Al (0.000, 0.500, 0.000)
Al (0.500, 0.000, 0.000)
Au (0.500, 0.500, 0.500)



Which structure is most stable? one, by 176.3 kJ/mol of atoms over the runner-up.



one:
Computed, not measured: a relaxed structure of La2Al2Au at the PBE-GGA level of DFT.

## Properties
For the magnetization, the calculation gives 0.00 Bohr magnetons per cell. Its symmetry is C2/m (12).

a b c (Å): 5.999 5.999 11.149
angles (deg): 115.67 115.67 46.31
Sites, in units of the cell vectors:
La (0.079, 0.079, 0.389)
La (0.318, 0.318, 0.823)
La (0.682, 0.682, 0.177)
La (0.921, 0.921, 0.611)
Al (0.091, 0.091, 0.949)
Al (0.376, 0.376, 0.389)
Al (0.624, 0.624, 0.611)
Al (0.909, 0.909, 0.051)
Au (0.376, 0.376, 0.149)
Au (0.624, 0.624, 0.851)



two:
Computed, not measured: a relaxed structure of La2Al2Au at the PBE-GGA level of DFT.

## Properties
For the magnetization, the calculation gives 0.00 Bohr magnetons per cell. Its symmetry is P4/mbm (127).

a b c (Å): 6.963 6.963 5.067
angles (deg): 90.00 90.00 90.00
Sites, in units of the cell vectors:
La (0.168, 0.332, 0.000)
La (0.332, 0.832, 0.000)
La (0.668, 0.168, 0.000)
La (0.832, 0.668, 0.000)
Al (0.138, 0.638, 0.500)
Al (0.362, 0.138, 0.500)
Al (0.638, 0.862, 0.500)
Al (0.862, 0.362, 0.500)
Au (0.000, 0.000, 0.500)
Au (0.500, 0.500, 0.500)



Which structure is most stable? one, by 5.6 kJ/mol of atoms over the runner-up.



one:
Computed, not measured: a relaxed structure of La3Al8Au3 at the PBE-GGA level of DFT.

## Properties
For the magnetization, the calculation gives 0.00 Bohr magnetons per cell. Its symmetry is C2/m (12).

a b c (Å): 8.522 8.522 9.517
angles (deg): 123.85 123.85 31.14
Sites, in units of the cell vectors:
La (0.000, 0.000, 0.000)
La (0.293, 0.293, 0.287)
La (0.707, 0.707, 0.713)
Al (0.135, 0.135, 0.852)
Al (0.148, 0.148, 0.431)
Al (0.344, 0.344, 0.978)
Al (0.498, 0.498, 0.684)
Al (0.502, 0.502, 0.316)
Al (0.656, 0.656, 0.022)
Al (0.852, 0.852, 0.569)
Al (0.865, 0.865, 0.148)
Au (0.000, 0.000, 0.500)
Au (0.348, 0.348, 0.705)
Au (0.652, 0.652, 0.295)



two:
Computed, not measured: a relaxed structure of La3Al8Au3 at the PBE-GGA level of DFT.

## Properties
For the magnetization, the calculation gives 0.00 Bohr magnetons per cell. Its symmetry is Immm (71).

a b c (Å): 8.511 8.511 8.511
angles (deg): 149.20 107.70 80.61
Sites, in units of the cell vectors:
La (0.000, 0.000, 0.000)
La (0.308, 0.308, 0.000)
La (0.692, 0.692, 0.000)
Al (0.033, 0.666, 0.366)
Al (0.154, 0.872, 0.282)
Al (0.300, 0.666, 0.634)
Al (0.410, 0.128, 0.282)
Al (0.590, 0.872, 0.718)
Al (0.700, 0.334, 0.366)
Al (0.846, 0.128, 0.718)
Al (0.967, 0.334, 0.634)
Au (0.276, 0.500, 0.776)
Au (0.500, 0.000, 0.500)
Au (0.724, 0.500, 0.224)



Which structure is most stable? one, by 1.6 kJ/mol of atoms over the runner-up.